1.
The following is a GGA-PBE calculation of Np2BRu5 after structural relaxation, from Alexandria via LeMat-Bulk.

Cell lengths 6.961, 5.822, 12.576 Å; angles 90.00, 90.00, 90.00 degrees
Positions (direct):
Np (0.001, 0.250, 0.201)
Np (0.167, 0.250, 0.583)
Np (0.333, 0.750, 0.083)
Np (0.499, 0.750, 0.701)
Np (0.501, 0.250, 0.299)
Np (0.667, 0.250, 0.917)
Np (0.833, 0.750, 0.417)
Np (0.999, 0.750, 0.799)
B (0.181, 0.250, 0.931)
B (0.319, 0.750, 0.431)
B (0.681, 0.250, 0.569)
B (0.819, 0.750, 0.069)
Ru (0.000, 0.000, 0.000)
Ru (0.000, 0.500, 0.000)
Ru (0.016, 0.750, 0.198)
Ru (0.151, 0.750, 0.568)
Ru (0.166, 0.010, 0.357)
Ru (0.166, 0.490, 0.357)
Ru (0.334, 0.510, 0.857)
Ru (0.334, 0.990, 0.857)
Ru (0.349, 0.250, 0.068)
Ru (0.484, 0.250, 0.698)
Ru (0.500, 0.000, 0.500)
Ru (0.500, 0.500, 0.500)
Ru (0.516, 0.750, 0.302)
Ru (0.651, 0.750, 0.932)
Ru (0.666, 0.010, 0.143)
Ru (0.666, 0.490, 0.143)
Ru (0.834, 0.510, 0.643)
Ru (0.834, 0.990, 0.643)
Ru (0.849, 0.250, 0.432)
Ru (0.984, 0.250, 0.802)

---

2.
The following is a GGA-PBE calculation of NpB2Ru after structural relaxation, from Alexandria via LeMat-Bulk.

Cell lengths 5.704, 5.373, 6.424 Å; angles 90.00, 90.00, 90.00 degrees
Positions (direct):
Np (0.002, 0.250, 0.165)
Np (0.498, 0.750, 0.665)
Np (0.502, 0.250, 0.335)
Np (0.998, 0.750, 0.835)
B (0.132, 0.086, 0.539)
B (0.132, 0.414, 0.539)
B (0.368, 0.586, 0.039)
B (0.368, 0.914, 0.039)
B (0.632, 0.086, 0.961)
B (0.632, 0.414, 0.961)
B (0.868, 0.586, 0.461)
B (0.868, 0.914, 0.461)
Ru (0.193, 0.750, 0.320)
Ru (0.307, 0.250, 0.820)
Ru (0.693, 0.750, 0.180)
Ru (0.807, 0.250, 0.680)

---

Number 1: electronic total energy -317.3 eV per cell, V 15.9 Å³/atom. Number 2: electronic total energy -148.4 eV per cell, V 12.3 Å³/atom.